Here is a relaxed structure of LiLa2Cu2 from Alexandria via LeMat-Bulk. Energies are from PBE-GGA.

* formation enthalpy at 0 K: 0.067 eV per atom
* magnetic moment: 0.0 μB/f.u.

Cell lengths 8.5439, 8.5439, 3.4329 Å; angles 90.00, 90.00, 90.00 degrees
Last column: nearest neighbours and their distance in Å.
Atoms (fractional coordinates):
1 Li 0.0000 0.0000 0.0000  4 La 3.20, 2 Li 3.43
2 Li 0.5000 0.5000 0.0000  4 La 3.20, 2 Li 3.43
3 Cu 0.1247 0.6247 0.5000  6 La 3.00-3.10, 1 Cu 3.01
4 Cu 0.6247 0.8753 0.5000  6 La 3.00-3.10, 1 Cu 3.01
5 Cu 0.8753 0.3753 0.5000  6 La 3.00-3.10, 1 Cu 3.01
6 Cu 0.3753 0.1247 0.5000  6 La 3.00-3.10, 1 Cu 3.01
7 La 0.3384 0.8384 0.0000  6 Cu 3.00-3.10, 2 Li 3.20
8 La 0.8384 0.6616 0.0000  6 Cu 3.00-3.10, 2 Li 3.20
9 La 0.6616 0.1616 0.0000  6 Cu 3.00-3.10, 2 Li 3.20
10 La 0.1616 0.3384 0.0000  6 Cu 3.00-3.10, 2 Li 3.20

Here is a relaxed structure of Cs2TiP2 from Alexandria via LeMat-Bulk. Energies are from PBE-GGA.

* formation enthalpy at 0 K: -0.645 eV per atom
* magnetic moment: 0.0 μB/f.u.

Cell lengths 6.5067, 8.7386, 8.7386 Å; angles 52.74, 68.14, 68.14 degrees
Last column: nearest neighbours and their distance in Å.
Atoms (fractional coordinates):
1 Cs 0.3468 0.3050 0.0014  6 P 3.68-4.06, 2 Ti 3.84, 2 Cs 4.02
2 Cs 0.6532 0.6950 0.9986  6 P 3.68-4.06, 2 Ti 3.84, 2 Cs 4.02
3 Cs 0.1532 0.9986 0.6950  6 P 3.68-4.06, 2 Ti 3.84, 2 Cs 4.02
4 Cs 0.8468 0.0014 0.3050  6 P 3.68-4.06, 2 Ti 3.84, 2 Cs 4.02
5 Ti 0.2500 0.5000 0.5000  4 P 2.41
6 Ti 0.7500 0.5000 0.5000  4 P 2.41
7 P 0.0885 0.5727 0.2503  2 Ti 2.41
8 P 0.9115 0.4273 0.7497  2 Ti 2.41
9 P 0.4115 0.7497 0.4273  2 Ti 2.41
10 P 0.5885 0.2503 0.5727  2 Ti 2.41

- Which of these has the lowest formation enthalpy at 0 K?
  Cs2TiP2

- Among the records above, which one has the lowest formation enthalpy at 0 K?
  Cs2TiP2